This record from Alexandria describes an optimized crystal structure of K2MgAsIr. The functional is PBE-GGA.

abc: 6.626 6.626 4.624
angles: 90.00 90.00 90.00
Element x y z (fractional)
1 K 0.000 0.500 0.000
2 K 0.500 0.000 0.000
3 Mg 0.000 0.000 0.000
4 As 0.000 0.000 0.500
5 Ir 0.500 0.500 0.500

Summary:
E_form: 0.915 eV per atom
density of states at the Fermi level: 0.46 states/eV per cell
final energy: -12.72 eV/f.u.
symmetry: P4/mmm, No. 123

***

This record from Alexandria describes an optimized crystal structure of LiFe2Co. The functional is PBE-GGA.

abc: 2.433 2.433 8.145
angles: 90.00 90.00 90.00
Element x y z (fractional)
1 Li 0.000 0.000 0.000
2 Fe 0.000 0.000 0.491
3 Fe 0.500 0.500 0.732
4 Co 0.500 0.500 0.254

Summary:
E_form: 0.188 eV per atom
density of states at the Fermi level: 4.32 states/eV per cell
final energy: -25.19 eV/f.u.
symmetry: P4mm, No. 99

***

This record from Alexandria describes an optimized crystal structure of Ho2Co5Si4. The functional is PBE-GGA.

abc: 8.003 7.105 5.256
angles: 79.16 60.68 40.17
Element x y z (fractional)
1 Ho 0.132 0.132 0.868
2 Ho 0.868 0.868 0.132
3 Co 0.000 0.000 0.500
4 Co 0.250 0.250 0.250
5 Co 0.500 0.500 0.000
6 Co 0.500 0.500 0.500
7 Co 0.750 0.750 0.750
8 Si 0.215 0.522 0.478
9 Si 0.478 0.785 0.215
10 Si 0.522 0.215 0.785
11 Si 0.785 0.478 0.522

Summary:
density of states at the Fermi level: 5.66 states/eV per cell
final energy: -73.95 eV/f.u.
energy relative to the elements, uncorrected: -688 meV per atom
symmetry: Fmmm, No. 69

***

This record from Alexandria describes an optimized crystal structure of Ce2HI5. The functional is PBE-GGA.

abc: 8.090 8.090 20.943
angles: 90.00 90.00 152.24
Element x y z (fractional)
1 Ce 0.230 0.770 0.665
2 Ce 0.230 0.770 0.835
3 Ce 0.770 0.230 0.165
4 Ce 0.770 0.230 0.335
5 H 0.235 0.765 0.250
6 H 0.765 0.235 0.750
7 I 0.119 0.881 0.131
8 I 0.119 0.881 0.369
9 I 0.355 0.645 0.066
10 I 0.355 0.645 0.434
11 I 0.411 0.589 0.250
12 I 0.589 0.411 0.750
13 I 0.645 0.355 0.566
14 I 0.645 0.355 0.934
15 I 0.881 0.119 0.631
16 I 0.881 0.119 0.869

Summary:
density of states at the Fermi level: 16.64 states/eV per cell
final energy: -30.95 eV/f.u.
symmetry: Cmcm, No. 63

***

This record from Alexandria describes an optimized crystal structure of RbPmNiCl6. The functional is PBE-GGA.

abc: 6.743 6.743 7.339
angles: 90.00 90.00 120.00
Element x y z (fractional)
1 Rb 0.000 0.000 0.000
2 Pm 0.333 0.667 0.500
3 Ni 0.667 0.333 0.500
4 Cl 0.387 0.033 0.698
5 Cl 0.387 0.354 0.302
6 Cl 0.646 0.033 0.302
7 Cl 0.646 0.613 0.698
8 Cl 0.967 0.354 0.698
9 Cl 0.967 0.613 0.302

Summary:
final energy: -37.30 eV/f.u.
energy relative to the elements, uncorrected: -1636 meV per atom
symmetry: P312, No. 149

***

This record from Alexandria describes an optimized crystal structure of K2PHS4. The functional is PBE-GGA.

abc: 6.953 6.953 8.682
angles: 100.92 100.92 77.40
Element x y z (fractional)
1 K 0.000 0.000 0.000
2 K 0.000 0.000 0.500
3 K 0.000 0.500 0.000
4 K 0.500 0.000 0.500
5 P 0.000 0.500 0.500
6 P 0.500 0.000 0.000
7 H 0.500 0.500 0.000
8 H 0.500 0.500 0.500
9 S 0.196 0.350 0.676
10 S 0.259 0.581 0.424
11 S 0.350 0.196 0.176
12 S 0.419 0.741 0.076
13 S 0.581 0.259 0.924
14 S 0.650 0.804 0.824
15 S 0.741 0.419 0.576
16 S 0.804 0.650 0.324

Summary:
density of states at the Fermi level: 3.21 states/eV per cell
final energy: -29.39 eV/f.u.
symmetry: C2/c, No. 15

***

This record from Alexandria describes an optimized crystal structure of KCdAu10. The functional is PBE-GGA.

abc: 4.703 5.616 9.762
angles: 90.00 90.00 90.00
Element x y z (fractional)
1 K 0.000 0.000 0.000
2 Cd 0.000 0.500 0.500
3 Au 0.000 0.000 0.343
4 Au 0.000 0.000 0.657
5 Au 0.000 0.500 0.191
6 Au 0.000 0.500 0.809
7 Au 0.500 0.000 0.500
8 Au 0.500 0.248 0.250
9 Au 0.500 0.248 0.750
10 Au 0.500 0.500 0.000
11 Au 0.500 0.752 0.250
12 Au 0.500 0.752 0.750

Summary:
E_form: -0.111 eV per atom
density of states at the Fermi level: 3.01 states/eV per cell
final energy: -36.11 eV/f.u.
symmetry: Pmmm, No. 47

***

This record from Alexandria describes an optimized crystal structure of PrTmGaPt. The functional is PBE-GGA.

abc: 5.084 5.084 5.084
angles: 60.00 60.00 60.00
Element x y z (fractional)
1 Pr 0.000 0.000 0.000
2 Tm 0.500 0.500 0.500
3 Ga 0.250 0.250 0.250
4 Pt 0.750 0.750 0.750

Summary:
E_form: -0.783 eV per atom
density of states at the Fermi level: 3.16 states/eV per cell
final energy: -21.45 eV/f.u.
symmetry: F-43m, No. 216

***

This record from Alexandria describes an optimized crystal structure of SrTmMgZn. The functional is PBE-GGA.

abc: 5.404 5.404 5.404
angles: 60.00 60.00 60.00
Element x y z (fractional)
1 Sr 0.000 0.000 0.000
2 Tm 0.500 0.500 0.500
3 Mg 0.750 0.750 0.750
4 Zn 0.250 0.250 0.250

Summary:
E_form: -0.039 eV per atom
density of states at the Fermi level: 4.21 states/eV per cell
final energy: -9.18 eV/f.u.
symmetry: F-43m, No. 216

***

This record from Alexandria describes an optimized crystal structure of LiYHo2Pd4. The functional is PBE-GGA.

abc: 8.322 8.322 8.322
angles: 33.98 33.98 33.98
Element x y z (fractional)
1 Li 0.000 0.000 0.000
2 Y 0.500 0.500 0.500
3 Ho 0.258 0.258 0.258
4 Ho 0.742 0.742 0.742
5 Pd 0.124 0.124 0.124
6 Pd 0.378 0.378 0.378
7 Pd 0.622 0.622 0.622
8 Pd 0.876 0.876 0.876

Summary:
E_form: -0.794 eV per atom
density of states at the Fermi level: 4.48 states/eV per cell
final energy: -44.66 eV/f.u.
symmetry: R-3m, No. 166

***

This record from Alexandria describes an optimized crystal structure of Dy2PuAg. The functional is PBE-GGA.

abc: 10.638 10.638 10.638
angles: 18.78 18.78 18.78
Element x y z (fractional)
1 Dy 0.243 0.243 0.243
2 Dy 0.757 0.757 0.757
3 Pu 0.000 0.000 0.000
4 Ag 0.500 0.500 0.500

Summary:
E_form: 0.068 eV per atom
density of states at the Fermi level: 9.91 states/eV per cell
final energy: -26.11 eV/f.u.
symmetry: R-3m, No. 166

***

This record from Alexandria describes an optimized crystal structure of SbAsAuC2. The functional is PBE-GGA.

abc: 4.022 4.022 5.275
angles: 90.00 90.00 90.00
Element x y z (fractional)
1 Sb 0.000 0.000 0.000
2 As 0.500 0.500 0.500
3 Au 0.500 0.500 0.000
4 C 0.000 0.500 0.500
5 C 0.500 0.000 0.500

Summary:
density of states at the Fermi level: 3.17 states/eV per cell
final energy: -20.94 eV/f.u.
energy relative to the elements, uncorrected: 1911 meV per atom
symmetry: P4/mmm, No. 123

***

This record from Alexandria describes an optimized crystal structure of V2Sb. The functional is PBE-GGA.

abc: 4.346 4.346 7.782
angles: 92.07 92.07 59.99
Element x y z (fractional)
1 V 0.006 0.006 0.143
2 V 0.337 0.337 0.077
3 V 0.663 0.663 0.923
4 V 0.994 0.994 0.857
5 Sb 0.321 0.321 0.720
6 Sb 0.679 0.679 0.280

Summary:
density of states at the Fermi level: 7.24 states/eV per cell
final energy: -22.28 eV/f.u.
energy relative to the elements, uncorrected: 26 meV per atom
symmetry: C2/m, No. 12

***

This record from Alexandria describes an optimized crystal structure of Ni4Rh. The functional is PBE-GGA.

abc: 6.106 6.106 6.106
angles: 148.22 148.22 45.56
Element x y z (fractional)
1 Ni 0.101 0.101 0.000
2 Ni 0.250 0.750 0.500
3 Ni 0.750 0.250 0.500
4 Ni 0.899 0.899 0.000
5 Rh 0.500 0.500 0.000

Summary:
E_form: 0.376 eV per atom
density of states at the Fermi level: 8.40 states/eV per cell
final energy: -28.60 eV/f.u.
symmetry: I4/mmm, No. 139

***

This record from Alexandria describes an optimized crystal structure of PrSnAu. The functional is PBE-GGA.

abc: 4.752 4.752 8.014
angles: 90.00 90.00 120.00
Element x y z (fractional)
1 Pr 0.000 0.000 0.000
2 Pr 0.000 0.000 0.500
3 Sn 0.333 0.667 0.250
4 Sn 0.667 0.333 0.750
5 Au 0.333 0.667 0.750
6 Au 0.667 0.333 0.250

Summary:
E_form: -0.784 eV per atom
density of states at the Fermi level: 2.53 states/eV per cell
final energy: -14.41 eV/f.u.
symmetry: P6_3/mmc, No. 194

***

This record from Alexandria describes an optimized crystal structure of KYFe2As. The functional is PBE-GGA.

abc: 4.464 4.464 5.372
angles: 90.00 90.00 90.00
Element x y z (fractional)
1 K 0.000 0.000 0.000
2 Y 0.500 0.500 0.000
3 Fe 0.000 0.500 0.500
4 Fe 0.500 0.000 0.500
5 As 0.000 0.000 0.500

Summary:
E_form: 0.850 eV per atom
density of states at the Fermi level: 6.60 states/eV per cell
final energy: -24.89 eV/f.u.
symmetry: P4/mmm, No. 123

***

This record from Alexandria describes an optimized crystal structure of Th2Te3. The functional is PBE-GGA.

abc: 11.343 11.343 11.343
angles: 22.64 22.64 22.64
Element x y z (fractional)
1 Th 0.110 0.110 0.110
2 Th 0.890 0.890 0.890
3 Te 0.278 0.278 0.278
4 Te 0.500 0.500 0.500
5 Te 0.722 0.722 0.722

Summary:
density of states at the Fermi level: 3.34 states/eV per cell
final energy: -29.82 eV/f.u.
energy relative to the elements, uncorrected: -1111 meV per atom
symmetry: R-3m, No. 166

***

This record from Alexandria describes an optimized crystal structure of La4FeRe. The functional is PBE-GGA.

abc: 6.142 6.142 6.142
angles: 60.00 60.00 60.00
Element x y z (fractional)
1 La 0.124 0.124 0.124
2 La 0.124 0.124 0.627
3 La 0.124 0.627 0.124
4 La 0.627 0.124 0.124
5 Fe 0.500 0.500 0.500
6 Re 0.750 0.750 0.750

Summary:
E_form: 1.216 eV per atom
density of states at the Fermi level: 9.84 states/eV per cell
final energy: -33.32 eV/f.u.
symmetry: F-43m, No. 216

***

This record from Alexandria describes an optimized crystal structure of Pm2MnP3Rh12. The functional is PBE-GGA.

abc: 7.009 7.009 7.009
angles: 74.45 74.45 74.45
Element x y z (fractional)
1 Pm 0.107 0.107 0.107
2 Pm 0.893 0.893 0.893
3 Mn 0.500 0.500 0.500
4 P 0.000 0.500 0.500
5 P 0.500 0.000 0.500
6 P 0.500 0.500 0.000
7 Rh 0.141 0.648 0.648
8 Rh 0.167 0.167 0.587
9 Rh 0.167 0.587 0.167
10 Rh 0.352 0.352 0.859
11 Rh 0.352 0.859 0.352
12 Rh 0.413 0.833 0.833
13 Rh 0.587 0.167 0.167
14 Rh 0.648 0.141 0.648
15 Rh 0.648 0.648 0.141
16 Rh 0.833 0.413 0.833
17 Rh 0.833 0.833 0.413
18 Rh 0.859 0.352 0.352

Summary:
E_form: -0.216 eV per atom
density of states at the Fermi level: 15.42 states/eV per cell
final energy: -127.00 eV/f.u.
symmetry: R-3m, No. 166

***

This record from Alexandria describes an optimized crystal structure of Pm3Pr3Hg2. The functional is PBE-GGA.

abc: 6.613 6.613 16.138
angles: 90.00 90.00 132.63
Element x y z (fractional)
1 Pm 0.066 0.934 0.750
2 Pm 0.141 0.859 0.031
3 Pm 0.141 0.859 0.469
4 Pm 0.859 0.141 0.531
5 Pm 0.859 0.141 0.969
6 Pm 0.934 0.066 0.250
7 Pr 0.213 0.787 0.250
8 Pr 0.462 0.538 0.110
9 Pr 0.462 0.538 0.390
10 Pr 0.538 0.462 0.610
11 Pr 0.538 0.462 0.890
12 Pr 0.787 0.213 0.750
13 Hg 0.273 0.727 0.630
14 Hg 0.273 0.727 0.870
15 Hg 0.727 0.273 0.130
16 Hg 0.727 0.273 0.370

Summary:
E_form: -0.172 eV per atom
density of states at the Fermi level: 20.73 states/eV per cell
final energy: -30.57 eV/f.u.
symmetry: Cmcm, No. 63

***

This record from Alexandria describes an optimized crystal structure of K2AlBr. The functional is PBE-GGA.

abc: 4.212 4.212 10.295
angles: 100.95 100.95 58.24
Element x y z (fractional)
1 K 0.238 0.238 0.215
2 K 0.762 0.762 0.785
3 Al 0.000 0.000 0.500
4 Br 0.500 0.500 0.000

Summary:
density of states at the Fermi level: 1.63 states/eV per cell
final energy: -9.50 eV/f.u.
energy relative to the elements, uncorrected: -472 meV per atom
symmetry: C2/m, No. 12

***

This record from Alexandria describes an optimized crystal structure of SrPSe. The functional is PBE-GGA.

abc: 4.573 4.573 4.119
angles: 90.00 90.00 120.00
Element x y z (fractional)
1 Sr 0.000 0.000 0.000
2 P 0.667 0.333 0.500
3 Se 0.333 0.667 0.500

Summary:
density of states at the Fermi level: 2.46 states/eV per cell
final energy: -12.55 eV/f.u.
energy relative to the elements, uncorrected: -658 meV per atom
symmetry: P-6m2, No. 187

***

This record from Alexandria describes an optimized crystal structure of TlTe2Os. The functional is PBE-GGA.

abc: 6.861 6.861 6.861
angles: 108.51 108.51 111.41
Element x y z (fractional)
1 Tl 0.000 0.000 0.000
2 Tl 0.750 0.250 0.500
3 Te 0.219 0.625 0.094
4 Te 0.375 0.469 0.594
5 Te 0.531 0.125 0.906
6 Te 0.875 0.781 0.406
7 Os 0.250 0.750 0.500
8 Os 0.500 0.500 0.000

Summary:
density of states at the Fermi level: 5.57 states/eV per cell
final energy: -18.89 eV/f.u.
energy relative to the elements, uncorrected: 247 meV per atom
symmetry: I-42d, No. 122

***

This record from Alexandria describes an optimized crystal structure of Y4Pb2Se. The functional is PBE-GGA.

abc: 6.783 6.779 9.588
angles: 90.00 110.36 90.00
Element x y z (fractional)
1 Y 0.011 0.005 0.254
2 Y 0.011 0.495 0.254
3 Y 0.423 0.250 0.140
4 Y 0.424 0.250 0.573
5 Y 0.576 0.750 0.427
6 Y 0.577 0.750 0.860
7 Y 0.989 0.505 0.746
8 Y 0.989 0.995 0.746
9 Pb 0.179 0.750 0.043
10 Pb 0.200 0.750 0.550
11 Pb 0.800 0.250 0.450
12 Pb 0.821 0.250 0.957
13 Se 0.338 0.250 0.837
14 Se 0.662 0.750 0.163

Summary:
density of states at the Fermi level: 10.04 states/eV per cell
final energy: -41.81 eV/f.u.
energy relative to the elements, uncorrected: -722 meV per atom
symmetry: P2_1/m, No. 11

***

This record from Alexandria describes an optimized crystal structure of TlOs2Br. The functional is PBE-GGA.

abc: 4.639 4.639 4.639
angles: 60.00 60.00 60.00
Element x y z (fractional)
1 Tl 0.000 0.000 0.000
2 Os 0.250 0.250 0.250
3 Os 0.750 0.750 0.750
4 Br 0.500 0.500 0.500

Summary:
density of states at the Fermi level: 4.88 states/eV per cell
final energy: -19.86 eV/f.u.
energy relative to the elements, uncorrected: 1660 meV per atom
symmetry: Fm-3m, No. 225